First-principles (GGA-PBE) data for crystalline NaTcCl4 at its relaxed geometry, as listed in the Alexandria database.

abc: 7.534 7.555 7.813
angles: 85.05 64.41 64.09
Space group P-1 (No. 2)
Unique sites:
Na1 0.049 0.247 0.455 (multiplicity 2)
Tc1 0.482 0.646 0.529 (multiplicity 2)
Cl1 0.135 0.802 0.782 (multiplicity 2)
Cl2 0.188 0.357 0.699 (multiplicity 2)
Cl3 0.325 0.835 0.329 (multiplicity 2)
Cl4 0.373 0.393 0.252 (multiplicity 2)

Calculated values
**ΔE to the lowest computed polymorph**: 0.0 kJ/mol of atoms
**Calculated density**: 2439 kg/m³